1.
21
Lattice="-3.234 -1.282 1.438 1.833 -7.579 -2.637 3.739 -1.346 7.208" Properties=species:S:1:pos:R:3 comment="Sc4Ni13C4 GGA-PBE relaxed" formation_energy_ev_per_atom=-0.31 pbc="T T T"
Sc 3.134 -3.323 4.085
Sc 2.437 -5.601 0.486
Sc 0.835 -1.338 0.685
Sc 4.736 -7.587 3.886
Ni 1.169 -5.103 3.005
Ni 1.145 -8.046 0.326
Ni 1.193 -2.161 5.683
Ni -0.031 -6.163 -0.638
Ni 2.369 -4.044 6.647
Ni 1.869 -0.673 3.604
Ni 0.916 -3.789 -1.318
Ni 0.348 -2.791 3.222
Ni 1.989 -7.416 2.788
Ni 2.399 -6.076 4.904
Ni -0.061 -4.131 1.105
Ni 2.087 -3.343 1.712
Ni 3.484 -5.582 2.859
C 0.253 -1.314 4.323
C -0.700 -4.430 -0.599
C 0.325 -7.863 -1.354
C 2.013 -2.344 7.363

2.
7
Lattice="-2.210 -1.594 2.180 -1.776 -1.263 -2.725 3.709 -5.171 -0.020" Properties=species:S:1:pos:R:3 comment="ScNi5C GGA-PBE relaxed" formation_energy_ev_per_atom=-0.08 pbc="T T T"
Sc 1.855 -2.586 -0.010
Ni 2.137 -4.849 -1.379
Ni -0.204 -1.585 -1.366
Ni 1.920 -5.015 1.073
Ni -0.421 -1.751 1.086
Ni -0.139 -4.014 -0.283
C -1.993 -1.429 -0.273

3.
10
Lattice="5.917 0.000 0.000 0.000 5.917 0.000 0.000 0.000 3.268" Properties=species:S:1:pos:R:3 comment="Sc2NiC2 GGA-PBE relaxed" relative_energy_ev_per_fu=0.00 formation_energy_ev_per_atom=-0.35 pbc="T T T"
Sc 1.115 4.074 1.634
Sc 4.074 4.801 1.634
Sc 4.801 1.843 1.634
Sc 1.843 1.115 1.634
Ni 0.000 0.000 0.000
Ni 2.958 2.958 0.000
C 2.439 5.397 0.000
C 5.397 3.478 0.000
C 3.478 0.520 0.000
C 0.520 2.439 0.000

4.
12
Lattice="-0.910 4.684 1.694 -3.841 -3.668 0.513 2.121 -1.486 5.249" Properties=species:S:1:pos:R:3 comment="ScNiC GGA-PBE relaxed" relative_energy_ev_per_fu=0.30 formation_energy_ev_per_atom=-0.18 pbc="T T T"
Sc -2.312 0.910 3.811
Sc -0.131 0.512 6.080
Sc -0.318 -1.380 3.645
Sc -2.499 -0.983 1.376
Ni -0.214 0.640 1.899
Ni -1.961 -3.452 4.710
Ni -2.416 -1.110 5.557
Ni -0.669 2.982 2.746
C 0.003 1.350 3.837
C -4.023 1.177 2.152
C -2.633 -1.820 3.618
C 1.393 -1.647 5.304